## BeSb2Os (GGA-PBEsol)

Data for BeSb2Os after structural relaxation.

## Properties
The value obtained for the formation energy without anion corrections is 16.35 kcal/mol of atoms. As for the total energy: -5.6236 eV/atom.

```
data_BeSb2Os
_cell_length_a 5.7053
_cell_length_b 5.7053
_cell_length_c 11.7220
_cell_angle_alpha 90.00
_cell_angle_beta 90.00
_cell_angle_gamma 90.00
_space_group_name_H-M_alt 'I -4 2 d'
_space_group_IT_number 122
_space_group_name_Hall 'I -4 2bw'
loop_
_atom_site_label
_atom_site_type_symbol
_atom_site_fract_x
_atom_site_fract_y
_atom_site_fract_z
Be1 Be 0.0000 0.0000 0.0000
Sb1 Sb 0.2355 0.2500 0.1250
Os1 Os 0.0000 0.0000 0.5000
```